1.
First-principles (PBE-GGA) data for a relaxed Na4Ce3HgS8 crystal, as listed in the Alexandria database.

Values from the calculation:
SG ... R-3m
Raw formation energy ... -23.22 eV per formula unit
Total moment ... 1.94 Bohr magnetons per cell

Structure (POSCAR):
```
Na4Ce3HgS8
1.0
8.156 0.000 0.000
0.000 8.179 0.009
-4.078 -4.075 5.772
Na Ce Hg S
4 3 1 8
direct
0.500 0.000 0.000
0.500 0.000 0.500
0.000 0.000 0.000
0.000 0.000 0.500
0.500 0.500 0.000
0.500 0.500 0.500
0.000 0.500 0.500
0.000 0.500 0.000
0.247 0.732 0.985
0.247 0.732 0.494
0.256 0.268 0.512
0.737 0.732 0.985
0.263 0.268 0.015
0.744 0.732 0.488
0.753 0.268 0.506
0.753 0.268 0.015
```



2.
First-principles (PBE-GGA) data for a relaxed Na2CeHgS4 crystal, as listed in the Alexandria database.

Values from the calculation:
SG ... P2/m
Raw formation energy ... -9.08 eV per formula unit
Total moment ... 0.00 Bohr magnetons per cell

Structure (POSCAR):
```
Na2CeHgS4
1.0
4.020 0.000 0.000
0.000 7.190 -0.069
0.000 2.600 6.448
Na Ce Hg S
2 1 1 4
direct
0.000 0.000 0.000
0.500 0.000 0.500
0.000 0.500 0.500
0.500 0.500 0.000
0.000 0.716 0.759
0.000 0.284 0.241
0.500 0.743 0.278
0.500 0.257 0.722
```



Copy entry 1 word for word.
First-principles (PBE-GGA) data for a relaxed Na4Ce3HgS8 crystal, as listed in the Alexandria database.

Values from the calculation:
SG ... R-3m
Raw formation energy ... -23.22 eV per formula unit
Total moment ... 1.94 Bohr magnetons per cell

Structure (POSCAR):
```
Na4Ce3HgS8
1.0
8.156 0.000 0.000
0.000 8.179 0.009
-4.078 -4.075 5.772
Na Ce Hg S
4 3 1 8
direct
0.500 0.000 0.000
0.500 0.000 0.500
0.000 0.000 0.000
0.000 0.000 0.500
0.500 0.500 0.000
0.500 0.500 0.500
0.000 0.500 0.500
0.000 0.500 0.000
0.247 0.732 0.985
0.247 0.732 0.494
0.256 0.268 0.512
0.737 0.732 0.985
0.263 0.268 0.015
0.744 0.732 0.488
0.753 0.268 0.506
0.753 0.268 0.015
```



Which formula does entry 2 have? Na2CeHgS4